Below is a relaxed RbBeTe2Au crystal, with properties calculated at the PBE level.

Summary:
Magnetization, μB per atom: 0.000
Fermi-level density of states, states/eV per atom: 0.000
Energy relative to the elements, uncorrected, eV/atom: -0.408
Total DFT energy (no corrections), eV for the cell shown: -32.6

a = 7.7269 Å, b = 6.5157 Å, c = 8.6861 Å
α = 90.00°, β = 111.87°, γ = 90.00°
Fractional positions:
Rb 0.0000 0.2248 0.2500
Rb 0.0000 0.7752 0.7500
Be 0.5000 0.5000 0.0000
Be 0.5000 0.5000 0.5000
Te 0.2492 0.2869 0.9445
Te 0.2492 0.7131 0.4445
Te 0.7508 0.2869 0.5555
Te 0.7508 0.7131 0.0555
Au 0.5000 0.3128 0.2500
Au 0.5000 0.6872 0.7500